[1]
Compound: NpTl2SbS5
Source: the Alexandria database
Functional: GGA-PBE
Structure: relaxed

Lattice parameters (Å, degrees): 4.146 9.029 14.440 90.00 90.00 103.27
Positions (direct):
1 Sb 0.539 0.079 0.941
2 Tl 0.138 0.275 0.306
3 S 0.683 0.366 0.911
4 Np 0.783 0.566 0.531
5 S 0.073 0.146 0.063
6 S 0.355 0.710 0.991
7 S 0.927 0.854 0.563
8 S 0.645 0.290 0.491
9 S 0.269 0.539 0.644
10 S 0.317 0.634 0.411
11 Tl 0.862 0.725 0.806
12 Np 0.217 0.434 0.031
13 S 0.731 0.461 0.144
14 S 0.501 0.003 0.281
15 S 0.499 0.997 0.781
16 Tl 0.095 0.191 0.656
17 Tl 0.905 0.809 0.156
18 Sb 0.461 0.921 0.441

Values from the calculation:
formation energy (no corrections) = -0.5687 eV per atom
total moment = 0.2215 μB/atom
electronic total energy = -5.2834 eV per atom
V = 29.23 A^3/atom

***

[2]
Compound: NpTl2SbS4
Source: the Alexandria database
Functional: GGA-PBE
Structure: relaxed

Lattice parameters (Å, degrees): 8.444 8.444 8.356 119.66 119.66 89.82
Positions (direct):
1 S 0.198 0.729 0.964
2 S 0.802 0.271 0.036
3 S 0.766 0.734 0.530
4 Tl 0.500 0.500 0.000
5 S 0.766 0.734 0.970
6 S 0.229 0.698 0.464
7 Tl 0.500 0.000 0.500
8 Tl 0.500 0.000 0.000
9 S 0.234 0.266 0.030
10 S 0.771 0.302 0.536
11 Np 0.000 0.500 0.500
12 Tl 0.000 0.000 0.500
13 Sb 0.500 0.500 0.500
14 S 0.234 0.266 0.470
15 Np 0.000 0.500 0.000
16 Sb 0.000 0.000 0.000

Values from the calculation:
formation energy (no corrections) = -0.6332 eV per atom
total moment = 0.4919 μB/atom
electronic total energy = -5.4214 eV per atom
V = 26.64 A^3/atom